Entry 1:
Density functional theory data (PBE-GGA) for crystalline CdMoRhI2 at its relaxed geometry.

The structure in CIF format:
```
data_CdMoRhI2
_chemical_formula_sum 'Cd1 Mo1 Rh1 I2'
_symmetry_space_group_name_H-M 'P 4/m m m'
_symmetry_Int_Tables_number 123
_symmetry_space_group_name_Hall '-P 4 2'
_cell_length_a 5.7381
_cell_length_b 5.7381
_cell_length_c 5.4434
_cell_angle_alpha 90.00
_cell_angle_beta 90.00
_cell_angle_gamma 90.00
loop_
_atom_site_label
_atom_site_fract_x
_atom_site_fract_y
_atom_site_fract_z
Cd1 0.0000 0.0000 0.0000
Mo1 0.0000 0.0000 0.5000
Rh1 0.5000 0.5000 0.5000
I1 0.0000 0.5000 0.0000
```

## Properties
- total energy (eV per atom) = -2.73

***

Entry 2:
Density functional theory data (PBE-GGA) for crystalline DyYTh4 at its relaxed geometry.

The structure in CIF format:
```
data_DyYTh4
_chemical_formula_sum 'Dy1 Y1 Th4'
_symmetry_space_group_name_H-M 'P m m m'
_symmetry_Int_Tables_number 47
_symmetry_space_group_name_Hall '-P 2 2'
_cell_length_a 3.4972
_cell_length_b 5.7160
_cell_length_c 9.8812
_cell_angle_alpha 90.00
_cell_angle_beta 90.00
_cell_angle_gamma 90.00
loop_
_atom_site_label
_atom_site_fract_x
_atom_site_fract_y
_atom_site_fract_z
Dy1 0.0000 0.0000 0.0000
Y1 0.0000 0.5000 0.5000
Th1 0.5000 0.0000 0.3330
Th2 0.5000 0.5000 0.1665
```

## Properties
- formation energy (kJ per mole of atoms) = 8
- total energy (eV per atom) = -6.70

***

Entry 3:
Density functional theory data (PBE-GGA) for crystalline EuSbF at its relaxed geometry.

The structure in CIF format:
```
data_EuSbF
_chemical_formula_sum 'Eu2 Sb2 F2'
_symmetry_space_group_name_H-M 'I 4 m m'
_symmetry_Int_Tables_number 107
_symmetry_space_group_name_Hall 'I 4 -2'
_cell_length_a 3.3847
_cell_length_b 3.3847
_cell_length_c 12.3377
_cell_angle_alpha 90.00
_cell_angle_beta 90.00
_cell_angle_gamma 90.00
loop_
_atom_site_label
_atom_site_fract_x
_atom_site_fract_y
_atom_site_fract_z
Eu1 0.0000 0.0000 0.0000
Sb1 0.0000 0.0000 0.2848
F1 0.0000 0.0000 0.5538
```

## Properties
- total energy (eV per atom) = -7.37

***

Entry 4:
Density functional theory data (PBE-GGA) for crystalline Rb2SrSe2O6 at its relaxed geometry.

The structure in CIF format:
```
data_Rb2SrSe2O6
_chemical_formula_sum 'Rb4 Sr2 Se4 O12'
_symmetry_space_group_name_H-M 'C 1 2/m 1'
_symmetry_Int_Tables_number 12
_symmetry_space_group_name_Hall '-C 2y'
_cell_length_a 10.9076
_cell_length_b 6.2936
_cell_length_c 7.4002
_cell_angle_alpha 90.00
_cell_angle_beta 102.18
_cell_angle_gamma 90.00
loop_
_atom_site_label
_atom_site_fract_x
_atom_site_fract_y
_atom_site_fract_z
Rb1 0.1935 0.0000 0.2011
Sr1 0.0000 0.5000 0.0000
Se1 0.1284 0.0000 0.7099
O1 0.0816 0.2138 0.8243
O2 0.2108 0.5000 0.2177
```

## Properties
- total energy (eV per atom) = -5.31

***

Entry 5:
Density functional theory data (PBE-GGA) for crystalline Ac2SeSF2 at its relaxed geometry.

The structure in CIF format:
```
data_Ac2SeSF2
_chemical_formula_sum 'Ac2 Se1 S1 F2'
_symmetry_space_group_name_H-M 'P -3 m 1'
_symmetry_Int_Tables_number 164
_symmetry_space_group_name_Hall '-P 3 2"'
_cell_length_a 4.3622
_cell_length_b 4.3622
_cell_length_c 8.1977
_cell_angle_alpha 90.00
_cell_angle_beta 90.00
_cell_angle_gamma 120.00
loop_
_atom_site_label
_atom_site_fract_x
_atom_site_fract_y
_atom_site_fract_z
Ac1 0.3333 0.6667 0.2410
Se1 0.0000 0.0000 0.5000
S1 0.0000 0.0000 0.0000
F1 0.3333 0.6667 0.7613
```

## Properties
- total energy (eV per atom) = -6.36

***

Entry 6:
Density functional theory data (PBE-GGA) for crystalline ScTiCrH at its relaxed geometry.

The structure in CIF format:
```
data_ScTiCrH
_chemical_formula_sum 'Sc2 Ti2 Cr2 H2'
_symmetry_space_group_name_H-M 'I m m 2'
_symmetry_Int_Tables_number 44
_symmetry_space_group_name_Hall 'I 2 -2'
_cell_length_a 3.1604
_cell_length_b 3.2860
_cell_length_c 10.5662
_cell_angle_alpha 90.00
_cell_angle_beta 90.00
_cell_angle_gamma 90.00
loop_
_atom_site_label
_atom_site_fract_x
_atom_site_fract_y
_atom_site_fract_z
Sc1 0.0000 0.0000 0.0000
Ti1 0.0000 0.0000 0.2916
Cr1 0.0000 0.0000 0.6673
H1 0.0000 0.5000 0.8910
```

## Properties
- total energy (eV per atom) = -6.85
- excess energy over the best structure of this formula in the dataset (meV per atom) = 44.8

***

Entry 7:
Density functional theory data (PBE-GGA) for crystalline CaBiPO2 at its relaxed geometry.

The structure in CIF format:
```
data_CaBiPO2
_chemical_formula_sum 'Ca1 Bi1 P1 O2'
_symmetry_space_group_name_H-M 'P 4/m m m'
_symmetry_Int_Tables_number 123
_symmetry_space_group_name_Hall '-P 4 2'
_cell_length_a 4.2861
_cell_length_b 4.2861
_cell_length_c 5.6317
_cell_angle_alpha 90.00
_cell_angle_beta 90.00
_cell_angle_gamma 90.00
loop_
_atom_site_label
_atom_site_fract_x
_atom_site_fract_y
_atom_site_fract_z
Ca1 0.0000 0.0000 0.0000
Bi1 0.5000 0.5000 0.5000
P1 0.0000 0.0000 0.5000
O1 0.0000 0.5000 0.0000
```

## Properties
- total energy (eV per atom) = -4.56
- excess energy over the best structure of this formula in the dataset (meV per atom) = 404.5

***

Entry 8:
Density functional theory data (PBE-GGA) for crystalline NdTm2UN4 at its relaxed geometry.

The structure in CIF format:
```
data_NdTm2UN4
_chemical_formula_sum 'Nd1 Tm2 U1 N4'
_symmetry_space_group_name_H-M 'P 1 2/m 1'
_symmetry_Int_Tables_number 10
_symmetry_space_group_name_Hall '-P 2y'
_cell_length_a 5.9831
_cell_length_b 3.4632
_cell_length_c 6.0308
_cell_angle_alpha 90.00
_cell_angle_beta 109.01
_cell_angle_gamma 90.00
loop_
_atom_site_label
_atom_site_fract_x
_atom_site_fract_y
_atom_site_fract_z
Nd1 0.0000 0.0000 0.0000
Tm1 0.5000 0.0000 0.5000
Tm2 0.5000 0.5000 0.0000
U1 0.0000 0.5000 0.5000
N1 0.2505 0.5000 0.2774
N2 0.2528 0.0000 0.7377
```

## Properties
- total energy (eV per atom) = -8.85